(1)
First-principles (PBE) data for crystalline La3Pr6YEr2 at its relaxed geometry, as listed in Alexandria via LeMat-Bulk.

The calculation puts the formation energy at 0.018 eV/atom. The value obtained for the total energy is -4.903 eV/atom.

It has space group C2/m (No. 12), with a = 6.3786 Å, b = 11.0597 Å, c = 12.1299 Å, α = 90.00°, β = 100.11° and γ = 90.00°. Symmetry generates all atoms from La at (0.0000, 0.0000, 0.0000), La at (0.0000, 0.3332, 0.0000), Pr at (0.2470, 0.0000, 0.7435), Pr at (0.2488, 0.3327, 0.7436), Y at (0.0000, 0.5000, 0.5000) and Er at (0.0000, 0.1666, 0.5000).


(2)
First-principles (PBE) data for crystalline LaPrY3Er at its relaxed geometry, as listed in Alexandria via LeMat-Bulk.

The calculation puts the formation energy at 0.101 eV/atom. The value obtained for the total energy is -5.510 eV/atom.

It has space group Cmcm (No. 63), with a = 5.9175 Å, b = 11.5503 Å, c = 11.8363 Å, α = 90.00°, β = 90.00° and γ = 90.00°. Symmetry generates all atoms from La at (0.0000, 0.0042, 0.2500), Pr at (0.0000, 0.5000, 0.0000), Y at (0.0000, 0.1744, 0.5036), Y at (0.0000, 0.3259, 0.2500) and Er at (0.0000, 0.3296, 0.7500).


(3)
First-principles (PBE) data for crystalline LaPr5YEr2 at its relaxed geometry, as listed in Alexandria via LeMat-Bulk.

The calculation puts the formation energy at 0.146 eV/atom. The value obtained for the total energy is -4.789 eV/atom.

It has space group Cmc2_1 (No. 36), with a = 5.7573 Å, b = 20.4656 Å, c = 10.7641 Å, α = 90.00°, β = 90.00° and γ = 90.00°. Symmetry generates all atoms from La at (0.0000, 0.0849, 0.0000), Pr at (0.0000, 0.0201, 0.2897), Pr at (0.0000, 0.1151, 0.5717), Pr at (0.0000, 0.2039, 0.2551), Pr at (0.0000, 0.2194, 0.8621), Pr at (0.0000, 0.4832, 0.5705), Y at (0.0000, 0.3013, 0.5595), Er at (0.0000, 0.3840, 0.8667) and Er at (0.0000, 0.3866, 0.2828).


(4)
First-principles (PBE) data for crystalline LaPr2Y2Er at its relaxed geometry, as listed in Alexandria via LeMat-Bulk.

The calculation puts the formation energy at 0.075 eV/atom. The value obtained for the total energy is -5.255 eV/atom.

It has space group Pmc2_1 (No. 26), with a = 5.7125 Å, b = 10.3148 Å, c = 6.9631 Å, α = 90.00°, β = 90.00° and γ = 90.00°. Symmetry generates all atoms from La at (0.0000, 0.1927, 0.0000), Pr at (0.0000, 0.4762, 0.3567), Pr at (0.5000, 0.2986, 0.6141), Y at (0.0000, 0.1268, 0.5077), Y at (0.5000, 0.3694, 0.1089) and Er at (0.5000, 0.0239, 0.2601).